# LiHfAgAu

A geometry-optimized LiHfAgAu structure (PBE, Alexandria via LeMat-Bulk).

a b c (Å): 4.6544 4.6544 4.6544
angles (deg): 60.00 60.00 60.00
Positions (direct):
Hf 0.7500 0.7500 0.7500
Au 0.0000 0.0000 0.0000
Ag 0.5000 0.5000 0.5000
Li 0.2500 0.2500 0.2500

Properties
- electronic total energy (Ha/atom) = -0.17486
- space group = F-43m
- energy of formation from the pure elements (eV/atom) = -0.26



# AcDyGePt

A geometry-optimized AcDyGePt structure (PBE, Alexandria via LeMat-Bulk).

a b c (Å): 5.2430 5.2430 5.2430
angles (deg): 60.00 60.00 60.00
Positions (direct):
Ac 0.5000 0.5000 0.5000
Ge 0.2500 0.2500 0.2500
Pt 0.7500 0.7500 0.7500
Dy 0.0000 0.0000 0.0000

Properties
- electronic total energy (Ha/atom) = -0.20731
- space group = F-43m
- energy of formation from the pure elements (eV/atom) = -0.80
- excess energy over the best structure of this formula in the dataset (meV per atom) = 8



# Mn2NiOs

A geometry-optimized Mn2NiOs structure (PBE, Alexandria via LeMat-Bulk).

a b c (Å): 4.4775 4.4775 4.4762
angles (deg): 131.68 131.68 70.75
Positions (direct):
Ni 0.5000 0.5001 0.0000
Mn 0.0002 0.0000 0.0000
Mn 0.7502 0.2500 0.5000
Os 0.2499 0.7502 0.5000

Properties
- electronic total energy (Ha/atom) = -0.32451
- space group = I-4m2
- energy of formation from the pure elements (eV/atom) = 0.01



# BaTl2Cu

A geometry-optimized BaTl2Cu structure (PBE, Alexandria via LeMat-Bulk).

a b c (Å): 4.4972 4.1937 6.9603
angles (deg): 72.45 90.00 90.00
Positions (direct):
Ba 0.0000 0.5399 0.5463
Cu 0.5000 0.9328 0.7619
Tl 0.0000 0.8158 0.9927
Tl 0.5000 0.2114 0.1991

Properties
- electronic total energy (Ha/atom) = -0.10023
- space group = Pm
- energy of formation from the pure elements (eV/atom) = -0.04



# BaLi2La

A geometry-optimized BaLi2La structure (PBE, Alexandria via LeMat-Bulk).

a b c (Å): 5.6156 5.6156 5.6156
angles (deg): 120.03 120.03 89.94
Positions (direct):
Ba 0.5000 0.5000 0.0000
La 0.7500 0.2500 0.5000
Li 0.0000 0.0000 0.0000
Li 0.2500 0.7500 0.5000

Properties
- electronic total energy (Ha/atom) = -0.08977
- space group = F-43m
- energy of formation from the pure elements (eV/atom) = 0.23
- excess energy over the best structure of this formula in the dataset (meV per atom) = 109



# Pm5Te2C2

A geometry-optimized Pm5Te2C2 structure (PBE, Alexandria via LeMat-Bulk).

a b c (Å): 7.9036 6.8368 10.4767
angles (deg): 109.04 112.16 90.00
Positions (direct):
Pm 0.2315 0.7115 0.9550
Pm 0.7685 0.7565 0.0450
Pm 0.2235 0.2115 0.9550
Pm 0.7765 0.2565 0.0450
Pm 0.2048 0.1059 0.2811
Pm 0.7952 0.8249 0.7189
Pm 0.5763 0.6059 0.2811
Pm 0.4237 0.3249 0.7189
Pm 0.1088 0.6478 0.5000
Pm 0.8912 0.1478 0.5000
Te 0.1515 0.6017 0.2104
Te 0.8485 0.3912 0.7896
Te 0.5589 0.1017 0.2104
Te 0.4411 0.8912 0.7896
C 0.0000 0.9937 0.0000
C 0.5000 0.4937 0.0000
C 0.1636 0.3029 0.5000
C 0.8364 0.8029 0.5000

Properties
- electronic total energy (Ha/atom) = -0.21881
- space group = Ima2
- E_form (uncorrected) (kJ per mole of atoms) = -54.7



# PrDyTeO2

A geometry-optimized PrDyTeO2 structure (PBE, Alexandria via LeMat-Bulk).

a b c (Å): 4.1652 6.9658 7.9531
angles (deg): 107.19 90.00 90.00
Positions (direct):
Pr 0.2500 0.6800 0.9250
Pr 0.7500 0.3200 0.0750
Dy 0.2500 0.6559 0.4132
Dy 0.7500 0.3441 0.5868
Te 0.2500 0.0494 0.7483
Te 0.7500 0.9506 0.2517
O 0.7500 0.5100 0.3856
O 0.2500 0.4900 0.6144
O 0.7500 0.5160 0.8709
O 0.2500 0.4840 0.1291

Properties
- electronic total energy (Ha/atom) = -0.27188
- space group = P2_1/m
- E_form (uncorrected) (kJ per mole of atoms) = -280.8



# Pu2PaPt5

A geometry-optimized Pu2PaPt5 structure (PBE, Alexandria via LeMat-Bulk).

a b c (Å): 6.6265 6.6265 5.9632
angles (deg): 123.75 123.75 90.00
Positions (direct):
Pu 0.2459 0.7459 0.4919
Pu 0.7459 0.2459 0.4919
Pa 0.1173 0.1173 0.2345
Pt 0.6986 0.2643 0.9629
Pt 0.2643 0.2643 0.9629
Pt 0.6987 0.6986 0.9629
Pt 0.2643 0.6986 0.9629
Pt 0.7420 0.7420 0.4841

Properties
- electronic total energy (Ha/atom) = -0.34173
- space group = I4mm
- energy of formation from the pure elements (eV/atom) = -0.75
- excess energy over the best structure of this formula in the dataset (meV per atom) = 35



# Tb3AlPd2

A geometry-optimized Tb3AlPd2 structure (PBE, Alexandria via LeMat-Bulk).

a b c (Å): 3.5248 3.5248 10.8952
angles (deg): 90.00 90.00 90.00
Positions (direct):
Tb 0.0000 0.0000 0.0000
Tb 0.0000 0.0000 0.6760
Tb 0.0000 0.0000 0.3240
Al 0.5000 0.5000 0.5000
Pd 0.5000 0.5000 0.8352
Pd 0.5000 0.5000 0.1648

Properties
- electronic total energy (Ha/atom) = -0.19764
- space group = P4/mmm
- energy of formation from the pure elements (eV/atom) = -0.71



# HfCr2NiPd

A geometry-optimized HfCr2NiPd structure (PBE, Alexandria via LeMat-Bulk).

a b c (Å): 4.2128 4.2128 4.6275
angles (deg): 90.00 90.00 90.00
Positions (direct):
Ni 0.0000 0.0000 0.0000
Hf 0.5000 0.5000 0.5000
Pd 0.0000 0.0000 0.5000
Cr 0.0000 0.5000 0.0000
Cr 0.5000 0.0000 0.0000

Properties
- electronic total energy (Ha/atom) = -0.26542
- space group = P4/mmm
- energy of formation from the pure elements (eV/atom) = 0.81
- excess energy over the best structure of this formula in the dataset (meV per atom) = 0



# Ac2CuHg

A geometry-optimized Ac2CuHg structure (PBE, Alexandria via LeMat-Bulk).

a b c (Å): 4.3951 4.3951 8.5866
angles (deg): 75.17 75.17 60.00
Positions (direct):
Ac 0.0736 0.0736 0.7793
Ac 0.2608 0.2608 0.2176
Cu 0.6655 0.6655 0.0034
Hg 0.5001 0.5001 0.4997

Properties
- electronic total energy (Ha/atom) = -0.12204
- space group = R3m
- energy of formation from the pure elements (eV/atom) = -0.17
- excess energy over the best structure of this formula in the dataset (meV per atom) = 113



# SmY2ScTe6

A geometry-optimized SmY2ScTe6 structure (PBE, Alexandria via LeMat-Bulk).

a b c (Å): 7.6363 7.6364 8.2534
angles (deg): 62.44 62.45 60.00
Positions (direct):
Sm 0.8234 0.8233 0.5300
Y 0.5108 0.5108 0.4677
Y 0.0085 0.0085 0.9745
Sc 0.3259 0.3259 0.0223
Te 0.5871 0.2334 0.2467
Te 0.2334 0.9328 0.2468
Te 0.9327 0.5871 0.2467
Te 0.4137 0.7188 0.7602
Te 0.7188 0.1073 0.7602
Te 0.1073 0.4137 0.7602

Properties
- electronic total energy (Ha/atom) = -0.20609
- space group = R3
- E_form (uncorrected) (kJ per mole of atoms) = -127.8



Calculated density for every record listed, in sequence, given in Mg/m³: 11.42 10.71 12.15 8.09 3.85 6.80 6.98 17.37 8.79 9.05 8.69 5.37.